{"formula": "ZrPCl2F", "functional": "GGA-PBE", "state": "relaxed", "rho_g_cm3": 3.8, "de_polymorph_kj_per_mol_atoms": 50.0, "volume_a3_per_cell": 91.9, "raw_formation_energy_ev_per_atom": -0.212, "total_magnetization_mub_per_cell": 0.00, "lattice": [[5.004, 0.000, 0.000], [0.000, 5.004, 0.000], [0.000, 0.000, 3.670]], "species": ["Zr", "P", "Cl", "Cl", "F"], "frac_coords": [[0.000, 0.000, 0.000], [0.500, 0.500, 0.000], [0.000, 0.500, 0.500], [0.500, 0.000, 0.500], [0.500, 0.500, 0.500]]}